Entry 1:
VASP calculation (PBE) on a geometry-optimized AcEr2Ga structure.

POSCAR file:
```
AcEr2Ga
1.0
2.466 1.424 6.093
-2.466 1.424 6.093
0.000 -2.847 6.093
Ac Er Ga
1 2 1
Direct
0.000 0.000 0.000
0.551 0.551 0.551
0.788 0.788 0.788
0.192 0.192 0.192
```

Summary:
- Density of states at the Fermi level: 1.061 states/eV per atom
- SG: No. 160
- Energy of formation: -2.300 kcal/mol of atoms

=====

Entry 2:
VASP calculation (PBE) on a geometry-optimized Ni2AgSb2 structure.

POSCAR file:
```
Ni2AgSb2
1.0
7.644 0.000 0.000
0.000 7.644 0.000
0.000 0.000 3.120
Ni Ag Sb
4 2 4
Direct
0.123 0.377 0.000
0.377 0.877 0.000
0.623 0.123 0.000
0.877 0.623 0.000
0.000 0.000 0.500
0.500 0.500 0.500
0.165 0.665 0.500
0.335 0.165 0.500
0.665 0.835 0.500
0.835 0.335 0.500
```

Summary:
- Formation energy from raw total energies: 0.13 eV/atom
- Density of states at the Fermi level: 0.598 states/eV per atom
- SG: No. 127

=====

Entry 3:
VASP calculation (PBE) on a geometry-optimized ScTlPt3 structure.

POSCAR file:
```
ScTlPt3
1.0
4.921 0.000 0.000
0.000 4.921 0.000
0.000 0.000 4.921
Sc Tl Pt
1 1 3
Direct
0.000 0.000 0.000
0.500 0.500 0.500
0.000 0.000 0.500
0.000 0.500 0.000
0.500 0.000 0.000
```

Summary:
- Density of states at the Fermi level: 1.053 states/eV per atom
- SG: No. 221
- Energy of formation: 9.662 kcal/mol of atoms

=====

Entry 4:
VASP calculation (PBE) on a geometry-optimized KZnHgBr2 structure.

POSCAR file:
```
KZnHgBr2
1.0
5.701 0.000 0.000
0.000 5.701 0.000
0.000 0.000 5.164
K Zn Hg Br
1 1 1 2
Direct
0.000 0.000 0.000
0.500 0.500 0.500
0.500 0.500 0.000
0.000 0.500 0.500
0.500 0.000 0.500
```

Summary:
- Formation energy from raw total energies: -0.75 eV/atom
- Density of states at the Fermi level: 0.364 states/eV per atom
- SG: No. 123

=====

Q: What is the density of states at the Fermi level in the fourth record?
A: 0.364 states/eV per atom

=====

Q: What is the formula in the second record?
A: Ni2AgSb2

=====

What did the third record say?
VASP calculation (PBE) on a geometry-optimized ScTlPt3 structure.

POSCAR file:
```
ScTlPt3
1.0
4.921 0.000 0.000
0.000 4.921 0.000
0.000 0.000 4.921
Sc Tl Pt
1 1 3
Direct
0.000 0.000 0.000
0.500 0.500 0.500
0.000 0.000 0.500
0.000 0.500 0.000
0.500 0.000 0.000
```

Summary:
- Density of states at the Fermi level: 1.053 states/eV per atom
- SG: No. 221
- Energy of formation: 9.662 kcal/mol of atoms